[1]
## OsSe2Br8 (PBE)

Data for OsSe2Br8 after structural relaxation.

a = 8.220 Å, b = 7.312 Å, c = 7.649 Å
α = 83.25°, β = 92.51°, γ = 62.38°
Last column: magnetic moment on the atom in μB.
Positions (direct):
Br1 0.286 0.222 0.723  0.00
Br2 0.257 0.784 0.576  0.01
Br3 0.104 0.201 0.163  0.22
Br4 0.216 0.670 0.209  0.06
Br5 0.714 0.778 0.277  0.00
Br6 0.743 0.216 0.424  0.01
Br7 0.784 0.330 0.791  0.06
Br8 0.896 0.799 0.837  0.22
Os1 0.000 0.000 0.000  1.18
Se1 0.716 0.089 0.155  -0.01
Se2 0.284 0.911 0.845  -0.01

Summary:
Total energy: -2.97 eV per atom
Total magnetic moment: 2.05 μB/f.u.



[2]
## Cd4SbBr2Cl (PBE)

Data for Cd4SbBr2Cl after structural relaxation.

a = 7.626 Å, b = 8.784 Å, c = 8.057 Å
α = 90.00°, β = 90.00°, γ = 90.00°
Positions (direct):
Cd1 0.900 0.361 0.671
Cd2 0.400 0.639 0.829
Cd3 0.387 0.053 0.500
Cd4 0.900 0.361 0.329
Cd5 0.828 0.815 0.500
Cd6 0.887 0.947 0.000
Cd7 0.400 0.639 0.171
Cd8 0.328 0.185 0.000
Br1 0.987 0.712 0.782
Br2 0.987 0.712 0.218
Br3 0.487 0.288 0.282
Br4 0.487 0.288 0.718
Cl1 0.534 0.944 0.000
Cl2 0.034 0.056 0.500
Sb1 0.976 0.251 0.000
Sb2 0.476 0.749 0.500

Summary:
Total energy: -2.09 eV per atom
Total magnetic moment: 0.00 μB/f.u.



[3]
## ScN (PBE)

Data for ScN after structural relaxation.

a = 7.410 Å, b = 7.410 Å, c = 4.470 Å
α = 90.00°, β = 90.00°, γ = 90.00°
Positions (direct):
Sc1 0.147 0.647 0.500
Sc2 0.147 0.353 0.000
Sc3 0.647 0.147 0.000
Sc4 0.853 0.647 0.000
Sc5 0.853 0.353 0.500
Sc6 0.353 0.147 0.500
Sc7 0.647 0.853 0.500
Sc8 0.353 0.853 0.000
N1 0.853 0.353 0.000
N2 0.353 0.147 0.000
N3 0.647 0.147 0.500
N4 0.147 0.353 0.500
N5 0.353 0.853 0.500
N6 0.147 0.647 0.000
N7 0.853 0.647 0.500
N8 0.647 0.853 0.000

Summary:
Total energy: -9.04 eV per atom
Total magnetic moment: 0.00 μB/f.u.



[4]
## CsAs2PdBr (PBE)

Data for CsAs2PdBr after structural relaxation.

a = 4.787 Å, b = 4.787 Å, c = 8.443 Å
α = 90.00°, β = 90.00°, γ = 90.00°
Positions (direct):
As1 0.500 0.000 0.000
As2 0.000 0.500 0.000
Cs1 0.500 0.500 0.500
Br1 0.000 0.000 0.500
Pd1 0.000 0.000 0.000

Summary:
Polymorph energy (0 for the lowest one): 0.0 meV per atom
Total magnetic moment: 0.00 μB/f.u.



[5]
## ScCoMo2 (PBE)

Data for ScCoMo2 after structural relaxation.

a = 2.730 Å, b = 4.496 Å, c = 5.165 Å
α = 90.00°, β = 90.00°, γ = 90.00°
Last column: magnetic moment on the atom in μB.
Positions (direct):
Co1 0.500 0.500 0.750  0.58
Mo1 0.000 0.000 0.996  0.03
Mo2 0.000 0.000 0.504  0.03
Sc1 0.500 0.500 0.250  -0.06

Summary:
Polymorph energy (0 for the lowest one): 288.1 meV per atom
ΔH_f (0 K): 304.7 meV/atom
Total magnetic moment: 0.54 μB/f.u.



[6]
## Li2TbScSe4 (PBE)

Data for Li2TbScSe4 after structural relaxation.

a = 3.982 Å, b = 6.894 Å, c = 6.852 Å
α = 109.55°, β = 90.00°, γ = 90.00°
Positions (direct):
Se1 0.500 0.237 0.245
Se2 0.000 0.238 0.748
Se3 0.500 0.763 0.755
Se4 0.000 0.762 0.252
Tb1 0.500 0.500 0.000
Li1 0.500 0.000 0.500
Li2 0.000 0.500 0.500
Sc1 0.000 0.000 0.000

Summary:
Total energy: -5.23 eV per atom
Total magnetic moment: 0.00 μB/f.u.



[7]
## USCl (PBE)

Data for USCl after structural relaxation.

a = 6.673 Å, b = 3.968 Å, c = 3.968 Å
α = 120.00°, β = 90.00°, γ = 90.00°
Last column: magnetic moment on the atom in μB.
Positions (direct):
Cl1 0.095 0.000 0.000  -0.04
U1 0.348 0.667 0.333  2.71
S1 0.557 0.333 0.667  -0.07

Summary:
Total energy: -7.12 eV per atom
Total magnetic moment: 3.00 μB/f.u.



[8]
## Tb2PmHf (PBE)

Data for Tb2PmHf after structural relaxation.

a = 3.363 Å, b = 3.363 Å, c = 12.250 Å
α = 82.11°, β = 82.11°, γ = 60.00°
Positions (direct):
Tb1 0.085 0.085 0.744
Tb2 0.915 0.915 0.256
Pm1 0.500 0.500 0.500
Hf1 0.000 0.000 0.000

Summary:
Polymorph energy (0 for the lowest one): 259.0 meV per atom
ΔH_f (0 K): 381.0 meV/atom
Total magnetic moment: 0.00 μB/f.u.